Material: HfCoBiPt
Method: DFT, GGA-PBE
State: optimized geometry

For the total magnetization, the calculation gives 2.04 Bohr magnetons per cell. Its distance to the lowest polymorph of the same formula is 0.00 kJ per mole of atoms. Its crystal system is cubic. The total energy is -6.947 eV/atom.

The space group is F-43m (No. 216) and the conventional cell measures 6.607, 6.607 and 6.607 Å, with angles of 90.00, 90.00 and 90.00 degrees. The inequivalent atoms are Hf at (0.000, 0.000, 0.000), Co at (0.250, 0.250, 0.750), Bi at (0.000, 0.000, 0.500) and Pt at (0.250, 0.250, 0.250).

***

Material: HfCoBiPt
Method: DFT, GGA-PBE
State: optimized geometry

For the total magnetization, the calculation gives 3.29 Bohr magnetons per cell. Its distance to the lowest polymorph of the same formula is 10.93 kJ per mole of atoms. Its crystal system is cubic. The total energy is -6.834 eV/atom.

The space group is F-43m (No. 216) and the conventional cell measures 6.607, 6.607 and 6.607 Å, with angles of 90.00, 90.00 and 90.00 degrees. The inequivalent atoms are Hf at (0.000, 0.000, 0.000), Co at (0.000, 0.000, 0.500), Bi at (0.250, 0.250, 0.250) and Pt at (0.250, 0.250, 0.750).

***

Material: Hf3Sc3CoBi2
Method: DFT, GGA-PBE
State: optimized geometry

For the total magnetization, the calculation gives 1.44 Bohr magnetons per cell. Its crystal system is hexagonal. The total energy is -6.619 eV/atom.

The space group is P-62m (No. 189) and the conventional cell measures 9.0394, 9.0394 and 3.0384 Å, with angles of 90.00, 90.00 and 120.00 degrees. The inequivalent atoms are Hf at (0.0000, 0.7108, 0.0000), Sc at (0.0000, 0.3462, 0.0000), Co at (0.0000, 0.0000, 0.0000) and Bi at (0.3333, 0.6667, 0.0000).

***

Material: HfCoTcBi
Method: DFT, GGA-PBE
State: optimized geometry

For the total magnetization, the calculation gives 3.81 Bohr magnetons per cell. Its distance to the lowest polymorph of the same formula is 0.00 kJ per mole of atoms. Its crystal system is cubic. The total energy is -7.809 eV/atom.

The space group is F-43m (No. 216) and the conventional cell measures 6.508, 6.508 and 6.508 Å, with angles of 90.00, 90.00 and 90.00 degrees. The inequivalent atoms are Hf at (0.000, 0.000, 0.000), Co at (0.250, 0.250, 0.750), Tc at (0.250, 0.250, 0.250) and Bi at (0.000, 0.000, 0.500).

***

Material: HfCoTcBi
Method: DFT, GGA-PBE
State: optimized geometry

For the total magnetization, the calculation gives 11.44 Bohr magnetons per cell. Its distance to the lowest polymorph of the same formula is 41.60 kJ per mole of atoms. Its crystal system is cubic. The total energy is -7.378 eV/atom.

The space group is F-43m (No. 216) and the conventional cell measures 6.576, 6.576 and 6.576 Å, with angles of 90.00, 90.00 and 90.00 degrees. The inequivalent atoms are Hf at (0.000, 0.000, 0.000), Co at (0.000, 0.000, 0.500), Tc at (0.250, 0.250, 0.750) and Bi at (0.250, 0.250, 0.250).

***

Material: Tm3Hf3CoBi2
Method: DFT, GGA-PBE
State: optimized geometry

For the total magnetization, the calculation gives 0.27 Bohr magnetons per cell. Its crystal system is hexagonal. The total energy is -6.684 eV/atom.

The space group is P-62m (No. 189) and the conventional cell measures 8.1078, 8.1078 and 3.7237 Å, with angles of 90.00, 90.00 and 120.00 degrees. The inequivalent atoms are Tm at (0.0000, 0.7591, 0.0000), Hf at (0.0000, 0.3895, 0.5000), Co at (0.0000, 0.0000, 0.5000) and Bi at (0.3333, 0.6667, 0.0000).

***

Copy entry 3 word for word.
Material: Hf3Sc3CoBi2
Method: DFT, GGA-PBE
State: optimized geometry

For the total magnetization, the calculation gives 1.44 Bohr magnetons per cell. Its crystal system is hexagonal. The total energy is -6.619 eV/atom.

The space group is P-62m (No. 189) and the conventional cell measures 9.0394, 9.0394 and 3.0384 Å, with angles of 90.00, 90.00 and 120.00 degrees. The inequivalent atoms are Hf at (0.0000, 0.7108, 0.0000), Sc at (0.0000, 0.3462, 0.0000), Co at (0.0000, 0.0000, 0.0000) and Bi at (0.3333, 0.6667, 0.0000).